Ho2MoC | Alexandria via LeMat-Bulk | PBE | optimized geometry; V = 20.58 Å³/atom; total DFT energy (no corrections) = -6.7400 eV per atom; SG = No. 166; density of states at the Fermi level = 3.9 states/eV per cell; formation energy from the elements = 0.563 eV per atom
1.0
3.335 0.000 0.000
1.667 2.888 0.000
1.667 0.963 8.548
Ho C Mo
2 1 1
direct
0.887 0.887 0.338
0.113 0.113 0.662
0.500 0.500 0.500
0.000 0.000 0.000

CaTaBr2 | Alexandria via LeMat-Bulk | PBE | optimized geometry; V = 24.29 Å³/atom; total DFT energy (no corrections) = -4.3328 eV per atom; SG = No. 44; formation energy (no corrections) = -12.7 kJ/mol of formula units; offset from the most stable computed form = 0.383 eV/atom; density of states at the Fermi level = 2.8 states/eV per cell
1.0
-3.760 -2.754 -4.503
-0.919 -6.395 -0.510
-0.428 5.498 3.404
Br Ta Ca
2 1 1
direct
0.035 0.035 0.000
0.737 0.237 0.500
0.237 0.737 0.500
0.492 0.492 0.000

YBeIn2 | Alexandria via LeMat-Bulk | PBE | optimized geometry; V = 21.66 Å³/atom; total DFT energy (no corrections) = -3.8817 eV per atom; SG = No. 123; density of states at the Fermi level = 2.9 states/eV per cell; formation energy from the elements = 0.035 eV per atom
1.0
-1.431 0.595 -3.048
1.837 -2.543 -1.359
-5.427 -4.784 1.614
In Y Be
2 1 1
direct
0.000 0.000 0.951
0.000 0.000 0.549
0.500 0.500 0.250
0.500 0.500 0.750

Question: density of states at the Fermi level of number 3 (YBeIn2)?
Answer: 2.9 states/eV per cell

Question: The lowest total DFT energy (no corrections) belongs to which entry?
Answer: Ho2MoC

Question: Which value of V does entry 3 give?
Answer: 21.66 Å³/atom

Question: Look up the density of states at the Fermi level of the first one.
Answer: 3.9 states/eV per cell